Crystalline SrFeSe2 at its relaxed geometry. Source: Alexandria, functional PBEsol.

Computed properties:
Formation energy (no corrections), meV per atom: -756
Relative energy among the computed polymorphs, meV per atom: 74
D(E_F), states/eV/f.u.: 3.0
Uncorrected energy, eV/f.u.: -21.53

a b c (Å): 5.2943 5.2943 5.2943
angles (deg): 138.73 111.20 83.50
Positions (direct):
Sr 0.0000 0.0000 0.0000
Fe 0.5000 0.5000 0.0000
Se 0.3141 0.8141 0.5000
Se 0.6859 0.1859 0.5000

***

Crystalline HgTePbI2 at its relaxed geometry. Source: Alexandria, functional PBEsol.

Computed properties:
Formation energy (no corrections), meV per atom: 178
D(E_F), states/eV/f.u.: 5.6
Uncorrected energy, eV/f.u.: -10.73

a b c (Å): 6.0262 6.0262 5.8377
angles (deg): 90.00 90.00 90.00
Positions (direct):
Hg 0.0000 0.0000 0.0000
Te 0.5000 0.5000 0.0000
Pb 0.5000 0.5000 0.5000
I 0.0000 0.5000 0.5000
I 0.5000 0.0000 0.5000

***

Crystalline CaMnP at its relaxed geometry. Source: Alexandria, functional PBEsol.

Computed properties:
Formation enthalpy at 0 K, kJ/mol of atoms: -74.3
D(E_F), states/eV/f.u.: 1.6
Uncorrected energy, eV/f.u.: -20.00

a b c (Å): 3.7017 3.7017 8.1132
angles (deg): 90.00 90.00 90.00
Positions (direct):
Ca 0.2500 0.2500 0.1853
Ca 0.7500 0.7500 0.8147
Mn 0.2500 0.7500 0.5000
Mn 0.7500 0.2500 0.5000
P 0.2500 0.2500 0.6638
P 0.7500 0.7500 0.3362

***

Crystalline CoBiPd2Pt at its relaxed geometry. Source: Alexandria, functional PBEsol.

Computed properties:
Formation enthalpy at 0 K, kJ/mol of atoms: 55.4
D(E_F), states/eV/f.u.: 4.5
Uncorrected energy, eV/f.u.: -28.03

a b c (Å): 4.5404 4.5404 4.5760
angles (deg): 90.00 90.00 90.00
Positions (direct):
Co 0.0000 0.0000 0.0000
Bi 0.5000 0.5000 0.5000
Pd 0.0000 0.5000 0.0000
Pd 0.5000 0.0000 0.0000
Pt 0.0000 0.0000 0.5000

***

Crystalline InAs2IrSe at its relaxed geometry. Source: Alexandria, functional PBEsol.

Computed properties:
Formation energy (no corrections), meV per atom: 1691
D(E_F), states/eV/f.u.: 3.3
Uncorrected energy, eV/f.u.: -18.41

a b c (Å): 4.9539 4.9539 4.9949
angles (deg): 90.00 90.00 90.00
Positions (direct):
In 0.0000 0.0000 0.0000
As 0.0000 0.5000 0.0000
As 0.5000 0.0000 0.0000
Ir 0.5000 0.5000 0.5000
Se 0.0000 0.0000 0.5000

***

Crystalline Rb2AlInBr at its relaxed geometry. Source: Alexandria, functional PBEsol.

Computed properties:
Formation energy (no corrections), meV per atom: -167
D(E_F), states/eV/f.u.: 2.2
Uncorrected energy, eV/f.u.: -11.83

a b c (Å): 6.9602 6.9602 4.8606
angles (deg): 90.00 90.00 90.00
Positions (direct):
Rb 0.0000 0.5000 0.0000
Rb 0.5000 0.0000 0.0000
Al 0.0000 0.0000 0.5000
In 0.0000 0.0000 0.0000
Br 0.5000 0.5000 0.5000

***

One value per record, in order, for M_tot: 0.494; 0.018; 0.552; 0.606; 0.000; 0.000 μB per atom.